RbSr2GaBi (PBE, relaxed); ΔH_f (0 K) = -0.03 eV per atom
1.0
6.115 0.000 0.000
0.000 6.115 0.000
0.000 0.000 5.988
Rb Sr Ga Bi
1 2 1 1
Direct
0.000 0.000 0.000
0.000 0.500 0.500
0.500 0.000 0.500
0.000 0.000 0.500
0.500 0.500 0.000

=====

Rb2SrGaBi2 (PBE, relaxed); ΔH_f (0 K) = -0.42 eV per atom
1.0
-3.781 8.768 3.872
3.781 -8.768 3.872
3.781 8.768 -3.872
Rb Sr Ga Bi
4 2 2 4
Direct
0.177 0.232 0.409
0.323 0.732 0.054
0.677 0.268 0.946
0.823 0.768 0.591
0.250 0.750 0.500
0.750 0.250 0.500
0.250 0.250 0.000
0.750 0.750 0.000
0.100 0.779 0.879
0.400 0.279 0.678
0.600 0.721 0.322
0.900 0.221 0.121

=====

RbGa2TcBi (PBE, relaxed); ΔH_f (0 K) = 0.01 eV per atom
1.0
5.034 0.000 0.000
0.000 5.034 0.000
0.000 0.000 5.366
Rb Ga Tc Bi
1 2 1 1
Direct
0.000 0.000 0.000
0.000 0.500 0.500
0.500 0.000 0.500
0.500 0.500 0.500
0.500 0.500 0.000

=====

Rb2GaBiTe (PBE, relaxed); uncorrected formation energy = 1.34 kcal/mol of atoms
1.0
6.757 0.000 0.000
0.000 6.757 0.000
0.000 0.000 6.096
Rb Ga Bi Te
2 1 1 1
Direct
0.000 0.500 0.000
0.500 0.000 0.000
0.000 0.000 0.500
0.500 0.500 0.500
0.500 0.500 0.000

=====

Rb2TlGaBi2 (PBE, relaxed); ΔH_f (0 K) = -0.27 eV per atom
1.0
-3.859 8.238 3.787
3.859 -8.238 3.787
3.859 8.238 -3.787
Rb Tl Ga Bi
4 2 2 4
Direct
0.164 0.243 0.407
0.336 0.743 0.079
0.664 0.257 0.921
0.836 0.757 0.593
0.250 0.250 0.000
0.750 0.750 0.000
0.250 0.750 0.500
0.750 0.250 0.500
0.094 0.717 0.811
0.406 0.217 0.623
0.594 0.783 0.377
0.906 0.283 0.189

=====

RbTl2GaBi (PBE, relaxed); ΔH_f (0 K) = 0.01 eV per atom
1.0
5.748 0.000 0.000
0.000 5.748 0.000
0.000 0.000 5.742
Rb Tl Ga Bi
1 2 1 1
Direct
0.000 0.000 0.000
0.000 0.500 0.500
0.500 0.000 0.500
0.500 0.500 0.500
0.500 0.500 0.000

=====

RbTlGaBi (PBE, relaxed); ΔH_f (0 K) = -0.05 eV per atom
1.0
0.000 4.043 4.043
4.043 0.000 4.043
4.043 4.043 0.000
Rb Tl Ga Bi
1 1 1 1
Direct
0.000 0.000 0.000
0.250 0.250 0.250
0.750 0.750 0.750
0.500 0.500 0.500

=====

RbZn2GaBi (PBE, relaxed); ΔH_f (0 K) = 0.50 eV per atom
1.0
5.541 0.000 0.000
0.000 5.541 0.000
0.000 0.000 7.167
Rb Zn Ga Bi
1 2 1 1
Direct
0.000 0.000 0.000
0.000 0.500 0.500
0.500 0.000 0.500
0.500 0.500 0.000
0.000 0.000 0.500